# 1
First-principles (GGA-PBE) data for a geometry-optimized Dy3Th5 structure, as listed in Alexandria via LeMat-Bulk.

Magnetization = 0.00 μB/cell
E_tot = -6.3148 eV per atom
DOS(E_F) = 1.498 states/eV/atom

abc: 5.0291 10.1402 7.1333
angles: 135.30 90.00 90.00
Closest atoms and distances in Å follow each position.
Element x y z (fractional)
Dy: 0.0000 0.5000 0.0000  4 Dy 3.57, 8 Th 3.57-3.60
Dy: 0.5000 0.2480 0.4960  10 Th 3.53-3.61, 2 Dy 3.57
Dy: 0.5000 0.7520 0.5040  10 Th 3.53-3.61, 2 Dy 3.57
Th: 0.0000 0.0000 0.0000  4 Dy 3.54, 8 Th 3.54-3.57
Th: 0.0000 0.0000 0.5000  6 Th 3.55-3.57, 6 Dy 3.57
Th: 0.0000 0.5000 0.5000  6 Th 3.55-3.57, 6 Dy 3.57
Th: 0.5000 0.7537 0.0000  6 Dy 3.53-3.61, 6 Th 3.54-3.55
Th: 0.5000 0.2463 0.0000  6 Dy 3.53-3.61, 6 Th 3.54-3.55

=====

# 2
First-principles (GGA-PBE) data for a geometry-optimized Dy5Th4 structure, as listed in Alexandria via LeMat-Bulk.

Magnetization = 0.00 μB/cell
E_tot = -5.8080 eV per atom
Excess energy over the best structure of this formula in the dataset = 0.0 meV per atom
DOS(E_F) = 1.582 states/eV/atom

abc: 5.0497 7.9513 7.9513
angles: 84.21 71.49 71.49
Closest atoms and distances in Å follow each position.
Element x y z (fractional)
Dy: 0.6712 0.3288 0.3288  6 Dy 3.51-3.65, 6 Th 3.54-3.56
Dy: 0.3288 0.6712 0.6712  6 Dy 3.51-3.65, 6 Th 3.54-3.56
Dy: 0.0000 0.0000 0.0000  4 Dy 3.51, 8 Th 3.56
Dy: 0.0000 0.6712 0.3288  6 Dy 3.51-3.65, 6 Th 3.54-3.56
Dy: 0.0000 0.3288 0.6712  6 Dy 3.51-3.65, 6 Th 3.54-3.56
Th: 0.6662 0.0000 0.6676  8 Dy 3.54-3.56, 4 Th 3.54-3.57
Th: 0.3338 0.3324 0.0000  8 Dy 3.54-3.56, 4 Th 3.54-3.57
Th: 0.3338 0.0000 0.3324  8 Dy 3.54-3.56, 4 Th 3.54-3.57
Th: 0.6662 0.6676 0.0000  8 Dy 3.54-3.56, 4 Th 3.54-3.57

=====

# 3
First-principles (GGA-PBE) data for a geometry-optimized DyTh8 structure, as listed in Alexandria via LeMat-Bulk.

Magnetization = 0.00 μB/cell
E_tot = -6.9943 eV per atom
Excess energy over the best structure of this formula in the dataset = 87.7 meV per atom
DOS(E_F) = 1.870 states/eV/atom

abc: 3.5815 9.1738 9.1738
angles: 87.82 78.74 78.74
Closest atoms and distances in Å follow each position.
Element x y z (fractional)
Dy: 0.0000 0.0000 0.0000  8 Th 3.52, 2 Dy 3.58
Th: 0.6684 0.0000 0.6632  8 Th 3.44-3.58, 2 Dy 3.52
Th: 0.3316 0.0000 0.3368  8 Th 3.44-3.58, 2 Dy 3.52
Th: 0.3317 0.6683 0.6683  10 Th 3.48-3.58
Th: 0.6684 0.6632 0.0000  8 Th 3.44-3.58, 2 Dy 3.52
Th: 0.0000 0.6683 0.3317  10 Th 3.48-3.58
Th: 0.3316 0.3368 0.0000  8 Th 3.44-3.58, 2 Dy 3.52
Th: 0.6683 0.3317 0.3317  10 Th 3.48-3.58
Th: 0.0000 0.3317 0.6683  10 Th 3.48-3.58